1.
# LiTm2Cu

A relaxed structure of LiTm2Cu (PBE, Alexandria).

Computed properties:
- Energy of formation: -0.08 eV/atom
- M_tot: 0.00 μB/f.u.
- Fermi-level density of states: 2.4 states/eV/cell

a = 3.500 Å, b = 3.500 Å, c = 7.163 Å
α = 90.00°, β = 90.00°, γ = 90.00°
Space group P4/mmm (No. 123)
One atom of each set of equivalent atoms:
Li 0.000 0.000 0.000 [1 per cell]
Tm 0.500 0.500 0.273 [2 per cell]
Cu 0.000 0.000 0.500 [1 per cell]



2.
# LiTmCu

A relaxed structure of LiTmCu (PBE, Alexandria).

Computed properties:
- Energy of formation: -0.12 eV/atom
- M_tot: 0.00 μB/f.u.
- Fermi-level density of states: 13.8 states/eV/cell

a = 7.175 Å, b = 3.866 Å, c = 12.530 Å
α = 90.00°, β = 91.60°, γ = 90.00°
Space group P2_1/m (No. 11)
One atom of each set of equivalent atoms:
Li 0.010 0.250 0.079 [2 per cell]
Li 0.126 0.750 0.538 [2 per cell]
Li 0.376 0.250 0.201 [2 per cell]
Tm 0.058 0.750 0.285 [2 per cell]
Tm 0.340 0.250 0.914 [2 per cell]
Tm 0.453 0.250 0.624 [2 per cell]
Cu 0.238 0.750 0.750 [2 per cell]
Cu 0.257 0.250 0.417 [2 per cell]
Cu 0.258 0.750 0.082 [2 per cell]



3.
# LiTmCu

A relaxed structure of LiTmCu (PBE, Alexandria).

Computed properties:
- Energy of formation: -0.07 eV/atom
- M_tot: 0.00 μB/f.u.
- Fermi-level density of states: 1.7 states/eV/cell

a = 3.481 Å, b = 3.481 Å, c = 9.278 Å
α = 90.00°, β = 90.00°, γ = 90.00°
Space group I4mm (No. 107)
One atom of each set of equivalent atoms:
Li 0.000 0.000 0.000 [2 per cell]
Tm 0.000 0.000 0.300 [2 per cell]
Cu 0.000 0.000 0.636 [2 per cell]